TbNd2CdN, relaxed, DFT PBE; formation energy from raw total energies = -0.742 eV per atom; space-group type = No. 123; ρ = 7.7 g cm⁻³
1.0
4.816 0.000 0.000
0.000 5.072 0.000
0.000 0.000 5.072
Nd N Cd Tb
2 1 1 1
direct
0.000 0.000 0.500 Nd
0.000 0.500 0.000 Nd
0.000 0.000 0.000 N
0.500 0.500 0.500 Cd
0.500 0.000 0.000 Tb